Below is a relaxed AsP crystal, with properties calculated at the PBE-GGA level.

Structure (POSCAR):
```
AsP
1.0
3.460 0.000 0.000
-1.730 2.996 0.000
0.000 0.000 5.447
As P
1 1
Direct
0.000 0.000 0.974
0.667 0.333 0.731
```

Computed properties:
ρ ... 3.11 Mg/m³
Magnetic moment ... 0.0 μB/f.u.
Relative energy among the computed polymorphs ... 15 meV per atom
ΔH_f (0 K) ... 0.07 eV per atom